A geometry-optimized Mg30VCoO32 structure, computed with PBEsol.

M_tot   4.76 μB per formula unit
Density of states at the Fermi level   17.4 states/eV/cell
Calculated total energy   -6.341 eV per atom

Structure (CIF):
```
data_Mg30VCoO32
_cell_length_a 8.436
_cell_length_b 8.436
_cell_length_c 8.437
_cell_angle_alpha 90.00
_cell_angle_beta 90.00
_cell_angle_gamma 90.00
_space_group_name_H-M_alt 'P 4/m m m'
_space_group_IT_number 123
_space_group_name_Hall '-P 4 2'
loop_
_atom_site_label
_atom_site_type_symbol
_atom_site_fract_x
_atom_site_fract_y
_atom_site_fract_z
Mg1 Mg 0.000 0.000 0.000
Mg2 Mg 0.000 0.000 0.500
Mg3 Mg 0.000 0.250 0.249
Mg4 Mg 0.000 0.500 0.000
Mg5 Mg 0.000 0.500 0.500
Mg6 Mg 0.250 0.250 0.500
Mg7 Mg 0.251 0.251 0.000
Mg8 Mg 0.251 0.500 0.247
V1 V 0.500 0.500 0.500
Co1 Co 0.500 0.500 0.000
O1 O 0.000 0.000 0.251
O2 O 0.000 0.250 0.000
O3 O 0.000 0.250 0.500
O4 O 0.000 0.500 0.251
O5 O 0.245 0.500 0.000
O6 O 0.251 0.251 0.250
O7 O 0.251 0.500 0.500
O8 O 0.500 0.500 0.260
```

=====

A geometry-optimized Mg2CoWO6 structure, computed with PBEsol.

M_tot   3.00 μB per formula unit
Density of states at the Fermi level   22.5 states/eV/cell
Excess energy over the best structure of this formula in the dataset   0 meV/atom

Structure (CIF):
```
data_Mg2CoWO6
_cell_length_a 5.1078
_cell_length_b 5.1078
_cell_length_c 13.7689
_cell_angle_alpha 90.00
_cell_angle_beta 90.00
_cell_angle_gamma 120.00
_space_group_name_H-M_alt 'R 3'
_space_group_IT_number 146
_space_group_name_Hall 'R 3'
loop_
_atom_site_label
_atom_site_type_symbol
_atom_site_fract_x
_atom_site_fract_y
_atom_site_fract_z
Mg1 Mg 0.0000 0.0000 0.0000
Mg2 Mg 0.0000 0.0000 0.5000
Co1 Co 0.0000 0.0000 0.2098
W1 W 0.0000 0.0000 0.7048
O1 O 0.0364 0.6990 0.7741
O2 O 0.0461 0.3616 0.2786
```

=====

A geometry-optimized Mg2CoWO6 structure, computed with PBEsol.

M_tot   0.95 μB per formula unit
Density of states at the Fermi level   3.8 states/eV/cell
Excess energy over the best structure of this formula in the dataset   22 meV/atom

Structure (CIF):
```
data_Mg2CoWO6
_cell_length_a 5.018
_cell_length_b 5.228
_cell_length_c 8.884
_cell_angle_alpha 90.00
_cell_angle_beta 123.55
_cell_angle_gamma 90.00
_space_group_name_H-M_alt 'P 1 21/c 1'
_space_group_IT_number 14
_space_group_name_Hall '-P 2ybc'
loop_
_atom_site_label
_atom_site_type_symbol
_atom_site_fract_x
_atom_site_fract_y
_atom_site_fract_z
Mg1 Mg 0.227 0.062 0.242
Co1 Co 0.000 0.000 0.500
W1 W 0.500 0.000 0.000
O1 O 0.126 0.190 0.941
O2 O 0.244 0.691 0.927
O3 O 0.383 0.059 0.754
```

=====

A geometry-optimized YMg14CoO16 structure, computed with PBEsol.

M_tot   2.07 μB per formula unit
Density of states at the Fermi level   2.5 states/eV/cell
Calculated total energy   -6.423 eV per atom

Structure (CIF):
```
data_YMg14CoO16
_cell_length_a 8.574
_cell_length_b 8.574
_cell_length_c 4.281
_cell_angle_alpha 90.00
_cell_angle_beta 90.00
_cell_angle_gamma 90.00
_space_group_name_H-M_alt 'P 4/m m m'
_space_group_IT_number 123
_space_group_name_Hall '-P 4 2'
loop_
_atom_site_label
_atom_site_type_symbol
_atom_site_fract_x
_atom_site_fract_y
_atom_site_fract_z
Y1 Y 0.000 0.000 0.000
Mg1 Mg 0.000 0.264 0.500
Mg2 Mg 0.000 0.500 0.000
Mg3 Mg 0.258 0.500 0.500
Mg4 Mg 0.262 0.262 0.000
Co1 Co 0.500 0.500 0.000
O1 O 0.000 0.000 0.500
O2 O 0.000 0.257 0.000
O3 O 0.000 0.500 0.500
O4 O 0.238 0.500 0.000
O5 O 0.249 0.249 0.500
O6 O 0.500 0.500 0.500
```